The following is a DFT calculation (GGA-PBE) of an optimized crystal structure of TbPtNO. Values from VASP.

```
&SYSTEM
  ibrav = 0, nat = 8, ntyp = 4
/
ATOMIC_SPECIES
Tb 158.93 Tb.upf
N 14.01 N.upf
Pt 195.08 Pt.upf
O 16.00 O.upf
ATOMIC_POSITIONS angstrom
Tb -4.7730 -0.9232 -0.7330
Tb -5.0880 2.1324 2.8523
N -3.9821 -1.8449 1.2155
N -3.5163 0.5821 3.4831
Pt -2.7750 -0.3328 1.8855
Pt -5.0977 -1.2650 2.7512
O -2.9057 0.3942 -0.8100
O -6.9335 0.8346 2.9330
CELL_PARAMETERS angstrom
-2.0473 2.7542 -2.5271
-3.2960 -2.9507 -0.5456
-3.2056 2.5805 5.4092
```

For the relative energy among the computed polymorphs, the calculation gives 210.4 meV per atom. The calculation puts the calculated volume at 65 Å³/f.u. Its crystal system is orthorhombic.